Below is a relaxed structure of BaSmEuWO6, with properties calculated at the PBE with a Hubbard U level.

Cell: 5.936 5.936 8.711 Å, 90.00 90.00 90.00°
Atoms (fractional coordinates):
Ba: 0.000 0.500 0.250
Ba: 0.500 0.000 0.750
Sm: 0.000 0.000 0.000
Sm: 0.500 0.500 0.500
Eu: 0.000 0.500 0.750
Eu: 0.500 0.000 0.250
W: 0.000 0.000 0.500
W: 0.500 0.500 0.000
O: 0.000 0.000 0.263
O: 0.000 0.000 0.737
O: 0.170 0.293 0.513
O: 0.207 0.330 0.987
O: 0.293 0.830 0.487
O: 0.330 0.793 0.013
O: 0.500 0.500 0.237
O: 0.500 0.500 0.763
O: 0.670 0.207 0.013
O: 0.707 0.170 0.487
O: 0.793 0.670 0.987
O: 0.830 0.707 0.513

Results
total magnetization: 0.800 μB/atom
space-group type: P-4n2
polymorph energy (0 for the lowest one): 61 kJ/mol of formula units